# CaZrRe2, relaxed, DFT GGA-PBE
data_CaZrRe2
_symmetry_space_group_name_H-M 'C 1 2/m 1'
_symmetry_Int_Tables_number 12
_cell_length_a 5.917
_cell_length_b 9.471
_cell_length_c 2.764
_cell_angle_alpha 90.00
_cell_angle_beta 108.54
_cell_angle_gamma 90.00
loop_
_symmetry_equiv_pos_as_xyz
'x,y,z'
'-x,-y,-z'
'-x,y,-z'
'x,-y,z'
'x+1/2,y+1/2,z'
'-x+1/2,-y+1/2,-z'
'-x+1/2,y+1/2,-z'
'x+1/2,-y+1/2,z'
loop_
_atom_site_label
_atom_site_fract_x
_atom_site_fract_y
_atom_site_fract_z
Ca1 0.000 0.000 0.000
Zr1 0.000 0.500 0.000
Re1 0.250 0.250 0.500
# Crystal system ... monoclinic
# Magnetization ... 0.0 μB/cell
# DOS(E_F) ... 6.17 states/eV per cell
# Distance to the lowest polymorph of the same formula ... 320 meV per atom